No. 1
Density functional theory data (PBE) for SnC8N6 after structural relaxation.

Lattice parameters (Å, degrees): 5.7007 8.4342 11.4521 90.00 90.00 90.00
Last column: nearest neighbours and their distance in Å.
Fractional positions:
C: 0.4119 0.0000 0.6604  3 C 1.40
N: 0.2372 0.0000 0.1978  1 C 1.17
N: 0.2361 0.7631 0.9126  1 C 1.17
N: 0.2372 0.5000 0.3022  1 C 1.17
N: 0.2361 0.7369 0.5874  1 C 1.17
C: 0.3157 0.3566 0.8789  1 N 1.17
C: 0.3982 0.0000 0.2617  1 N 1.17
Sn: 0.0000 0.0000 0.0000  6 N 2.61-2.64
C: 0.6843 0.1434 0.3789  1 N 1.17
C: 0.6018 0.5000 0.7617  1 N 1.17
N: 0.2361 0.2369 0.9126  1 C 1.17
N: 0.7639 0.7369 0.4126  1 C 1.17
C: 0.5881 0.0000 0.3396  3 C 1.40
N: 0.7639 0.2631 0.4126  1 C 1.17
C: 0.3157 0.8566 0.6211  1 N 1.17
C: 0.6843 0.8566 0.3789  1 N 1.17
C: 0.4119 0.5000 0.8396  3 C 1.40
C: 0.3157 0.1434 0.6211  1 N 1.17
N: 0.7639 0.7631 0.0874  1 C 1.17
C: 0.6018 0.0000 0.7383  1 N 1.17
C: 0.3157 0.6434 0.8789  1 N 1.17
C: 0.6843 0.6434 0.1211  1 N 1.17
Sn: 0.0000 0.5000 0.5000  6 N 2.61-2.64
N: 0.7628 0.0000 0.8022  1 C 1.17
C: 0.3982 0.5000 0.2383  1 N 1.17
N: 0.7639 0.2369 0.0874  1 C 1.17
N: 0.7628 0.5000 0.6978  1 C 1.17
C: 0.6843 0.3566 0.1211  1 N 1.17
N: 0.2361 0.2631 0.5874  1 C 1.17
C: 0.5881 0.5000 0.1604  3 C 1.40

SG   Pmna, No. 53
ρ   1.80 g cm⁻³
Formation energy without anion corrections   666 kJ/mol of formula units
E_tot   -0.5921 Ry/atom

No. 2
Density functional theory data (PBE) for SnC2N after structural relaxation.

Lattice parameters (Å, degrees): 3.9509 3.9509 3.9509 60.00 60.00 60.00
Last column: nearest neighbours and their distance in Å.
Fractional positions:
Sn: 0.5000 0.5000 0.5000  8 C 2.42
C: 0.2500 0.2500 0.2500  4 Sn 2.42, 4 N 2.42
C: 0.7500 0.7500 0.7500  4 Sn 2.42, 4 N 2.42
N: 0.0000 0.0000 0.0000  8 C 2.42

Excess energy over the best structure of this formula in the dataset   1216 meV/atom
SG   Fm-3m, No. 225
ρ   5.97 g cm⁻³
Formation energy without anion corrections   1202 kJ/mol of formula units
E_tot   -0.3365 Ry/atom

No. 3
Density functional theory data (PBE) for SnCN2 after structural relaxation.

Lattice parameters (Å, degrees): 3.8655 3.8655 3.8655 60.00 60.00 60.00
Last column: nearest neighbours and their distance in Å.
Fractional positions:
N: 0.2500 0.2500 0.2500  4 Sn 2.37, 4 C 2.37
N: 0.7500 0.7500 0.7500  4 Sn 2.37, 4 C 2.37
C: 0.0000 0.0000 0.0000  8 N 2.37
Sn: 0.5000 0.5000 0.5000  8 N 2.37

SG   Fm-3m, No. 225
ρ   6.45 g cm⁻³
Formation energy without anion corrections   976 kJ/mol of formula units
E_tot   -0.3632 Ry/atom

No. 4
Density functional theory data (PBE) for SnC2N after structural relaxation.

Lattice parameters (Å, degrees): 4.9746 4.9746 4.8357 59.04 59.04 90.00
Last column: nearest neighbours and their distance in Å.
Fractional positions:
C: 0.8750 0.7588 0.7500  2 N 1.64
C: 0.2412 0.6250 0.2500  2 N 1.64
C: 0.5088 0.1250 0.2500  2 N 1.64
C: 0.3750 0.4912 0.7500  2 N 1.64
Sn: 0.0000 0.0000 0.0000  4 C 2.36
Sn: 0.7500 0.2500 0.5000  4 C 2.36
N: 0.2500 0.7500 0.5000  4 C 1.64
N: 0.5000 0.5000 0.0000  4 C 1.64

Excess energy over the best structure of this formula in the dataset   0 meV/atom
SG   I-42d, No. 122
ρ   6.34 g cm⁻³
Formation energy without anion corrections   733 kJ/mol of formula units
E_tot   -0.4259 Ry/atom

> Number 1 is which compound?

SnC8N6

> The lowest formation energy without anion corrections belongs to which entry?

SnC8N6

> What is the formula in the third record?

SnCN2

> What is the formula in the first record?

SnC8N6